# Zn4IrPt

Zn4IrPt after structural relaxation (PBE, Alexandria via LeMat-Bulk).

Relative energy among the computed polymorphs, meV per atom: 0

abc: 2.878 4.499 7.147
angles: 90.00 90.00 90.00
Space group Pmmm (No. 47)
One atom of each set of equivalent atoms:
Zn1 0.000 0.000 0.185 [2 per cell]
Zn2 0.500 0.500 0.307 [2 per cell]
Ir1 0.000 0.500 0.000 [1 per cell]
Pt1 0.500 0.000 0.500 [1 per cell]

***

# Zn2IrPt

Zn2IrPt after structural relaxation (PBE, Alexandria via LeMat-Bulk).

abc: 2.7747 2.7747 26.6131
angles: 90.00 90.00 120.00
Space group R3m (No. 160, hexagonal axes)
One atom of each set of equivalent atoms:
Zn1 0.0000 0.0000 0.0000 [3 per cell]
Zn2 0.0000 0.0000 0.2493 [3 per cell]
Ir1 0.0000 0.0000 0.5033 [3 per cell]
Pt1 0.0000 0.0000 0.7472 [3 per cell]

***

# ZnIr2Pt2

ZnIr2Pt2 after structural relaxation (PBE, Alexandria via LeMat-Bulk).

Relative energy among the computed polymorphs, meV per atom: 165

abc: 3.706 3.706 12.471
angles: 90.00 90.00 90.00
Space group I4/mmm (No. 139)
One atom of each set of equivalent atoms:
Zn1 0.000 0.000 0.000 [2 per cell]
Ir1 0.000 0.000 0.404 [4 per cell]
Pt1 0.000 0.500 0.250 [4 per cell]

***

# ZnIrPt2

ZnIrPt2 after structural relaxation (PBE, Alexandria via LeMat-Bulk).

abc: 2.758 4.805 9.183
angles: 90.00 90.00 90.00
Space group Cmmm (No. 65)
One atom of each set of equivalent atoms:
Zn1 0.000 0.000 0.000 [2 per cell]
Ir1 0.000 0.000 0.500 [2 per cell]
Pt1 0.000 0.500 0.241 [4 per cell]

***

# ZnIrPt4

ZnIrPt4 after structural relaxation (PBE, Alexandria via LeMat-Bulk).

abc: 7.377 7.377 7.377
angles: 90.00 90.00 90.00
Space group F-43m (No. 216)
One atom of each set of equivalent atoms:
Zn1 0.000 0.000 0.000 [4 per cell]
Ir1 0.250 0.250 0.750 [4 per cell]
Pt1 0.125 0.125 0.375 [16 per cell]

***

# Zn2IrPt

Zn2IrPt after structural relaxation (PBE, Alexandria via LeMat-Bulk).

abc: 4.507 2.844 4.890
angles: 90.00 111.06 90.00
Space group P2/m (No. 10)
One atom of each set of equivalent atoms:
Zn1 0.000 0.000 0.000 [1 per cell]
Zn2 0.000 0.500 0.500 [1 per cell]
Ir1 0.500 0.000 0.500 [1 per cell]
Pt1 0.500 0.500 0.000 [1 per cell]

***

# ZnIrPt

ZnIrPt after structural relaxation (PBE, Alexandria via LeMat-Bulk).

Relative energy among the computed polymorphs, meV per atom: 10

abc: 2.767 2.767 11.510
angles: 90.00 90.00 90.00
Space group I4mm (No. 107)
One atom of each set of equivalent atoms:
Zn1 0.000 0.000 0.000 [2 per cell]
Ir1 0.000 0.000 0.338 [2 per cell]
Pt1 0.000 0.000 0.666 [2 per cell]

***

# Zn2IrPt

Zn2IrPt after structural relaxation (PBE, Alexandria via LeMat-Bulk).

abc: 6.192 6.192 6.192
angles: 90.00 90.00 90.00
Space group F-43m (No. 216)
One atom of each set of equivalent atoms:
Zn1 0.000 0.000 0.000 [4 per cell]
Zn2 0.250 0.250 0.250 [4 per cell]
Ir1 0.000 0.000 0.500 [4 per cell]
Pt1 0.250 0.250 0.750 [4 per cell]

***

# Zn2IrPt

Zn2IrPt after structural relaxation (PBE, Alexandria via LeMat-Bulk).

abc: 6.854 6.854 5.434
angles: 90.00 90.00 90.00
Space group I-42d (No. 122)
One atom of each set of equivalent atoms:
Zn1 0.250 0.250 0.125 [8 per cell]
Ir1 0.000 0.000 0.000 [4 per cell]
Pt1 0.000 0.000 0.500 [4 per cell]

***

# Zn2IrPt

Zn2IrPt after structural relaxation (PBE, Alexandria via LeMat-Bulk).

abc: 2.747 3.903 5.448
angles: 90.00 90.00 90.00
Space group Pmm2 (No. 25)
One atom of each set of equivalent atoms:
Zn1 0.000 0.000 0.000 [1 per cell]
Zn2 0.500 0.500 0.273 [1 per cell]
Ir1 0.000 0.000 0.487 [1 per cell]
Pt1 0.500 0.500 0.777 [1 per cell]

***

# ZnIrPt2

ZnIrPt2 after structural relaxation (PBE, Alexandria via LeMat-Bulk).

abc: 2.776 2.776 7.753
angles: 90.00 90.00 90.00
Space group P4mm (No. 99)
One atom of each set of equivalent atoms:
Zn1 0.000 0.000 0.000 [1 per cell]
Ir1 0.500 0.500 0.241 [1 per cell]
Pt1 0.000 0.000 0.490 [1 per cell]
Pt2 0.500 0.500 0.758 [1 per cell]

***

# ZnIrPt2

ZnIrPt2 after structural relaxation (PBE, Alexandria via LeMat-Bulk).

abc: 9.192 2.777 4.775
angles: 90.00 101.06 90.00
Space group Cm (No. 8)
One atom of each set of equivalent atoms:
Zn1 0.000 0.000 0.000 [2 per cell]
Ir1 0.259 0.000 0.732 [2 per cell]
Pt1 0.007 0.500 0.508 [2 per cell]
Pt2 0.247 0.500 0.226 [2 per cell]

***

In the order shown, the computed E_form values come out to -0.202, -0.102, 0.342, -0.043, 0.331, -0.261, -0.142, -0.081, 0.144, -0.217, -0.132, -0.189 eV per atom.
In the order shown, the computed density of states at the Fermi level values come out to 0.699, 0.799, 1.302, 1.212, 1.205, 0.530, 1.091, 1.240, 0.803, 0.493, 1.360, 0.913 states/eV/atom.